! ScAg2SbPb | the Alexandria database | PBE-GGA | optimized geometry; values from VASP
&SYSTEM
  ibrav = 0, nat = 5, ntyp = 4
/
ATOMIC_SPECIES
Sc 44.96 Sc.upf
Ag 107.87 Ag.upf
Sb 121.76 Sb.upf
Pb 207.20 Pb.upf
CELL_PARAMETERS angstrom
5.174 0.000 0.000
0.000 5.174 0.000
0.000 0.000 5.581
ATOMIC_POSITIONS crystal
Sc 0.000 0.000 0.000
Ag 0.000 0.500 0.000
Ag 0.500 0.000 0.000
Sb 0.500 0.500 0.500
Pb 0.000 0.000 0.500
! * space-group type: P4/mmm, No. 123
! * uncorrected formation energy: 0.72 eV/atom
! * magnetic moment: 0.0 μB/f.u.
! * polymorph energy (0 for the lowest one): 156 meV/atom
! * electronic total energy: -0.2390 Ry/atom

! PRh2W | the Alexandria database | PBE-GGA | optimized geometry; values from VASP
&SYSTEM
  ibrav = 0, nat = 4, ntyp = 3
/
ATOMIC_SPECIES
P 30.97 P.upf
Rh 102.91 Rh.upf
W 183.84 W.upf
CELL_PARAMETERS angstrom
2.838 0.000 0.000
0.000 3.836 0.000
0.000 0.000 5.251
ATOMIC_POSITIONS crystal
P 0.000 0.000 0.000
Rh 0.500 0.500 0.250
Rh 0.500 0.500 0.750
W 0.000 0.000 0.500
! * space-group type: Pmmm, No. 47
! * magnetic moment: 0.0 μB/f.u.
! * electronic total energy: -0.6183 Ry/atom
! * formation energy from the elements: -0.146 eV per atom

! MgGa6Ag2 | the Alexandria database | PBE-GGA | optimized geometry; values from VASP
&SYSTEM
  ibrav = 0, nat = 9, ntyp = 3
/
ATOMIC_SPECIES
Mg 24.30 Mg.upf
Ga 69.72 Ga.upf
Ag 107.87 Ag.upf
CELL_PARAMETERS angstrom
8.093 0.000 0.000
-4.047 7.009 0.000
0.000 0.000 2.946
ATOMIC_POSITIONS crystal
Mg 0.000 0.000 0.000
Ga 0.000 0.335 0.500
Ga 0.000 0.665 0.500
Ga 0.335 0.000 0.500
Ga 0.335 0.335 0.500
Ga 0.665 0.000 0.500
Ga 0.665 0.665 0.500
Ag 0.333 0.667 0.000
Ag 0.667 0.333 0.000
! * space-group type: P6/mmm, No. 191
! * magnetic moment: 0.0 μB/f.u.
! * polymorph energy (0 for the lowest one): 34 meV/atom
! * electronic total energy: -0.2065 Ry/atom
! * formation energy from the elements: 0.020 eV per atom

! LaCdC3 | the Alexandria database | PBE-GGA | optimized geometry; values from VASP
&SYSTEM
  ibrav = 0, nat = 5, ntyp = 3
/
ATOMIC_SPECIES
La 138.91 La.upf
Cd 112.41 Cd.upf
C 12.01 C.upf
CELL_PARAMETERS angstrom
4.319 0.000 0.000
0.000 4.319 0.000
0.000 0.000 4.319
ATOMIC_POSITIONS crystal
La 0.000 0.000 0.000
Cd 0.500 0.500 0.500
C 0.000 0.500 0.500
C 0.500 0.000 0.500
C 0.500 0.500 0.000
! * space-group type: Pm-3m, No. 221
! * magnetic moment: 0.0 μB/f.u.
! * polymorph energy (0 for the lowest one): 0 meV/atom
! * electronic total energy: -0.3402 Ry/atom
! * formation energy from the elements: 2.074 eV per atom

! GaNi2Mo | the Alexandria database | PBE-GGA | optimized geometry; values from VASP
&SYSTEM
  ibrav = 0, nat = 8, ntyp = 3
/
ATOMIC_SPECIES
Ga 69.72 Ga.upf
Ni 58.69 Ni.upf
Mo 95.94 Mo.upf
CELL_PARAMETERS angstrom
4.719 0.000 0.000
-2.141 4.394 0.000
-0.609 -1.024 5.016
ATOMIC_POSITIONS crystal
Ga 0.000 0.000 0.000
Ga 0.059 0.558 0.216
Ni 0.190 0.688 0.731
Ni 0.503 0.503 0.008
Ni 0.564 0.062 0.227
Ni 0.686 0.189 0.729
Mo 0.142 0.140 0.523
Mo 0.636 0.638 0.519
! * space-group type: P1, No. 1
! * magnetic moment: 0.0 μB/f.u.
! * electronic total energy: -0.4761 Ry/atom
! * formation energy from the elements: -0.122 eV per atom

! TbSeO4F | the Alexandria database | PBE-GGA | optimized geometry; values from VASP
&SYSTEM
  ibrav = 0, nat = 14, ntyp = 4
/
ATOMIC_SPECIES
Tb 158.93 Tb.upf
Se 78.96 Se.upf
O 16.00 O.upf
F 19.00 F.upf
CELL_PARAMETERS angstrom
4.613 -3.609 0.000
4.613 3.609 0.000
-1.881 0.000 6.492
ATOMIC_POSITIONS crystal
Tb 0.205 0.205 0.118
Tb 0.795 0.795 0.882
Se 0.350 0.350 0.719
Se 0.650 0.650 0.281
O 0.128 0.482 0.856
O 0.241 0.241 0.481
O 0.469 0.469 0.265
O 0.482 0.128 0.856
O 0.518 0.872 0.144
O 0.531 0.531 0.735
O 0.759 0.759 0.519
O 0.872 0.518 0.144
F 0.020 0.020 0.826
F 0.980 0.980 0.174
! * space-group type: C2/m, No. 12
! * uncorrected formation energy: -2.07 eV/atom
! * magnetic moment: 0.0 μB/f.u.
! * electronic total energy: -0.4650 Ry/atom

! Sc2C3 | the Alexandria database | PBE-GGA | optimized geometry; values from VASP
&SYSTEM
  ibrav = 0, nat = 5, ntyp = 2
/
ATOMIC_SPECIES
Sc 44.96 Sc.upf
C 12.01 C.upf
CELL_PARAMETERS angstrom
3.856 0.000 0.000
-1.928 3.339 0.000
0.000 0.000 4.775
ATOMIC_POSITIONS crystal
Sc 0.333 0.667 0.255
Sc 0.667 0.333 0.745
C 0.000 0.000 0.500
C 0.333 0.667 0.774
C 0.667 0.333 0.226
! * space-group type: P-3m1, No. 164
! * magnetic moment: 0.0 μB/f.u.
! * polymorph energy (0 for the lowest one): 1100 meV/atom
! * electronic total energy: -0.5319 Ry/atom
! * formation energy from the elements: 0.830 eV per atom

! CaLuPt | the Alexandria database | PBE-GGA | optimized geometry; values from VASP
&SYSTEM
  ibrav = 0, nat = 3, ntyp = 3
/
ATOMIC_SPECIES
Ca 40.08 Ca.upf
Lu 174.97 Lu.upf
Pt 195.08 Pt.upf
CELL_PARAMETERS angstrom
4.109 0.000 0.000
-2.054 3.558 0.000
0.000 0.000 6.246
ATOMIC_POSITIONS crystal
Ca 0.000 0.000 0.000
Lu 0.667 0.333 0.479
Pt 0.333 0.667 0.271
! * space-group type: P3m1, No. 156
! * magnetic moment: 0.0 μB/f.u.
! * polymorph energy (0 for the lowest one): 63 meV/atom
! * electronic total energy: -0.3615 Ry/atom
! * formation energy from the elements: -0.730 eV per atom

! CdIn2Te | the Alexandria database | PBE-GGA | optimized geometry; values from VASP
&SYSTEM
  ibrav = 0, nat = 16, ntyp = 3
/
ATOMIC_SPECIES
Cd 112.41 Cd.upf
In 114.82 In.upf
Te 127.60 Te.upf
CELL_PARAMETERS angstrom
7.137 0.000 0.000
0.000 7.137 0.000
0.000 0.000 12.176
ATOMIC_POSITIONS crystal
Cd 0.000 0.000 0.000
Cd 0.000 0.500 0.250
Cd 0.500 0.000 0.750
Cd 0.500 0.500 0.500
In 0.238 0.250 0.125
In 0.250 0.738 0.375
In 0.250 0.762 0.875
In 0.262 0.250 0.625
In 0.738 0.750 0.625
In 0.750 0.238 0.875
In 0.750 0.262 0.375
In 0.762 0.750 0.125
Te 0.000 0.000 0.500
Te 0.000 0.500 0.750
Te 0.500 0.000 0.250
Te 0.500 0.500 0.000
! * space-group type: I-42d, No. 122
! * uncorrected formation energy: 0.00 eV/atom
! * magnetic moment: 0.0 μB/f.u.
! * polymorph energy (0 for the lowest one): 123 meV/atom
! * electronic total energy: -0.1750 Ry/atom

! YSi2Rh3 | the Alexandria database | PBE-GGA | optimized geometry; values from VASP
&SYSTEM
  ibrav = 0, nat = 6, ntyp = 3
/
ATOMIC_SPECIES
Y 88.91 Y.upf
Si 28.09 Si.upf
Rh 102.91 Rh.upf
CELL_PARAMETERS angstrom
5.536 0.000 0.000
-2.768 4.794 0.000
0.000 0.000 3.663
ATOMIC_POSITIONS crystal
Y 0.000 0.000 0.000
Si 0.333 0.667 0.000
Si 0.667 0.333 0.000
Rh 0.000 0.500 0.500
Rh 0.500 0.000 0.500
Rh 0.500 0.500 0.500
! * space-group type: P6/mmm, No. 191
! * uncorrected formation energy: -1.03 eV/atom
! * magnetic moment: 0.0 μB/f.u.
! * polymorph energy (0 for the lowest one): 38 meV/atom
! * electronic total energy: -0.5579 Ry/atom

! Tb6In2Co | the Alexandria database | PBE-GGA | optimized geometry; values from VASP
&SYSTEM
  ibrav = 0, nat = 9, ntyp = 3
/
ATOMIC_SPECIES
Tb 158.93 Tb.upf
In 114.82 In.upf
Co 58.93 Co.upf
CELL_PARAMETERS angstrom
-2.582 3.613 7.300
2.582 -3.613 7.300
2.582 3.613 -7.300
ATOMIC_POSITIONS crystal
Tb 0.089 0.350 0.739
Tb 0.220 0.000 0.220
Tb 0.390 0.650 0.739
Tb 0.610 0.350 0.261
Tb 0.780 0.000 0.780
Tb 0.911 0.650 0.261
In 0.333 0.833 0.500
In 0.667 0.167 0.500
Co 0.000 0.500 0.500
! * space-group type: Immm, No. 71
! * magnetic moment: 0.0 μB/f.u.
! * electronic total energy: -0.3352 Ry/atom
! * formation energy from the elements: -0.076 eV per atom

! KRbNb2In | the Alexandria database | PBE-GGA | optimized geometry; values from VASP
&SYSTEM
  ibrav = 0, nat = 5, ntyp = 4
/
ATOMIC_SPECIES
K 39.10 K.upf
Rb 85.47 Rb.upf
Nb 92.91 Nb.upf
In 114.82 In.upf
CELL_PARAMETERS angstrom
5.509 0.000 0.000
0.000 5.509 0.000
0.000 0.000 6.648
ATOMIC_POSITIONS crystal
K 0.000 0.000 0.000
Rb 0.500 0.500 0.000
Nb 0.000 0.500 0.500
Nb 0.500 0.000 0.500
In 0.500 0.500 0.500
! * space-group type: P4/mmm, No. 123
! * magnetic moment: 6.5 μB/f.u.
! * electronic total energy: -0.2600 Ry/atom
! * formation energy from the elements: 1.451 eV per atom

| no. | DOS(E_F) (states/eV per atom) |
| --- | --- |
| 1 | 1.00 |
| 2 | 0.62 |
| 3 | 0.51 |
| 4 | 0.71 |
| 5 | 0.55 |
| 6 | 0.00 |
| 7 | 0.42 |
| 8 | 0.78 |
| 9 | 0.26 |
| 10 | 0.14 |
| 11 | 0.96 |
| 12 | 1.68 |